! Ac2HRuO6 (PBE, optimized geometry); values from VASP
&SYSTEM
  ibrav = 0, nat = 20, ntyp = 4
/
ATOMIC_SPECIES
O 16.00 O.upf
Ac 227.00 Ac.upf
Ru 101.07 Ru.upf
H 1.01 H.upf
ATOMIC_POSITIONS crystal
O 0.278 0.440 0.533
O 0.889 0.430 0.888
O 0.036 0.711 0.618
O 0.778 0.060 0.033
O 0.964 0.289 0.382
O 0.464 0.211 0.882
Ac 0.116 0.189 0.791
O 0.722 0.560 0.467
O 0.611 0.930 0.612
Ru 0.000 0.500 0.500
Ac 0.616 0.311 0.291
Ru 0.500 0.000 0.000
H 0.000 0.500 0.000
Ac 0.384 0.689 0.709
Ac 0.884 0.811 0.209
O 0.222 0.940 0.967
O 0.111 0.570 0.112
O 0.389 0.070 0.388
H 0.500 0.000 0.500
O 0.536 0.789 0.118
CELL_PARAMETERS angstrom
-4.265 4.248 3.071
-2.536 -6.476 5.435
2.706 2.058 3.715
! * calculated total energy: -145.0 eV per cell
! * SG: P2_1/c
! * crystal system: monoclinic
! * calculated density: 7.5 g/cm3